PmAg2TeS2 | PBE | optimized geometry

abc: 7.157 5.226 8.086
angles: 90.00 97.38 90.00
Space group P2_1/m (No. 11)
Unique sites:
Pm  0.122  0.250  0.358 x2
Ag  0.113  0.250  0.936 x2
Ag  0.488  0.250  0.131 x2
Te  0.281  0.750  0.144 x2
S  0.217  0.502  0.655 x4

Values from the calculation:
- Formation energy from raw total energies: -584 meV/atom
- Magnetization: 0.0 μB per cell